MnTl3Ni2F9 | PBE with a Hubbard U | optimized geometry

Computed properties:
* total magnetic moment: 8.99 μB/cell
* calculated density: 7.1 g/cm3
* DFT total energy: -0.168 Ha/atom

Cell: 5.937 5.937 7.280 Å, 90.00 90.00 120.00°
Atoms (fractional coordinates):
Mn 0.000 0.000 0.000
Tl 0.000 0.000 0.500
Tl 0.333 0.667 0.170
Tl 0.667 0.333 0.830
Ni 0.333 0.667 0.663
Ni 0.667 0.333 0.337
F 0.000 0.500 0.500
F 0.171 0.342 0.827
F 0.171 0.829 0.827
F 0.342 0.171 0.173
F 0.500 0.000 0.500
F 0.500 0.500 0.500
F 0.658 0.829 0.827
F 0.829 0.171 0.173
F 0.829 0.658 0.173